1.
Here is a geometry-optimized Ce6Tc2Hg structure from the Alexandria database. Energies are from PBE-GGA.

Lattice parameters (Å, degrees): 5.017 5.693 8.784 96.36 90.00 116.14
Fractional coordinates of all 9 atoms:
Ce1 0.049 0.099 0.864
Ce2 0.608 0.216 0.171
Ce3 0.392 0.784 0.829
Ce4 0.697 0.394 0.615
Ce5 0.303 0.606 0.385
Ce6 0.951 0.901 0.136
Tc1 0.729 0.457 0.882
Tc2 0.271 0.543 0.118
Hg1 0.000 0.000 0.500

## Properties
* energy of formation: -0.1948 eV per atom
* crystal system: monoclinic
* SG: No. 12

---

2.
Here is a geometry-optimized Ca2SbOs structure from the Alexandria database. Energies are from PBE-GGA.

Lattice parameters (Å, degrees): 3.407 3.407 8.925 90.00 90.00 90.00
Fractional coordinates of all 4 atoms:
Sb1 0.500 0.500 0.691
Ca1 0.000 0.000 0.943
Ca2 0.500 0.500 0.319
Os1 0.000 0.000 0.547

## Properties
* crystal system: tetragonal
* SG: No. 99
* ΔE_f (raw): 0.00 eV/atom

---

3.
Here is a geometry-optimized Mn3CuSb structure from the Alexandria database. Energies are from PBE-GGA.

Lattice parameters (Å, degrees): 4.565 4.565 4.565 90.00 90.00 90.00
Fractional coordinates of all 5 atoms:
Sb1 0.500 0.500 0.500
Mn1 0.000 0.500 0.000
Mn2 0.000 0.000 0.500
Mn3 0.500 0.000 0.000
Cu1 0.000 0.000 0.000

## Properties
* relative energy among the computed polymorphs: 0.0 meV per atom
* crystal system: cubic
* SG: No. 221
* ΔE_f (raw): 0.64 eV/atom

---

4.
Here is a geometry-optimized TlZn2Ru structure from the Alexandria database. Energies are from PBE-GGA.

Lattice parameters (Å, degrees): 4.548 4.548 4.548 60.00 60.00 60.00
Fractional coordinates of all 4 atoms:
Ru1 0.500 0.500 0.500
Tl1 0.750 0.750 0.750
Zn1 0.000 0.000 0.000
Zn2 0.250 0.250 0.250

## Properties
* energy of formation: 0.3984 eV per atom
* relative energy among the computed polymorphs: 213.2 meV per atom
* crystal system: cubic
* SG: No. 216

---

5.
Here is a geometry-optimized Pm4Ho5Ag structure from the Alexandria database. Energies are from PBE-GGA.

Lattice parameters (Å, degrees): 3.585 3.585 24.062 90.00 90.00 90.00
Fractional coordinates of all 10 atoms:
Pm1 0.000 0.000 0.184
Pm2 0.000 0.000 0.395
Pm3 0.000 0.000 0.605
Pm4 0.000 0.000 0.816
Ho1 0.500 0.500 0.077
Ho2 0.500 0.500 0.289
Ho3 0.500 0.500 0.500
Ho4 0.500 0.500 0.711
Ho5 0.500 0.500 0.923
Ag1 0.000 0.000 0.000

## Properties
* energy of formation: -0.0446 eV per atom
* crystal system: tetragonal
* SG: No. 123

---

6.
Here is a geometry-optimized CrCuRh structure from the Alexandria database. Energies are from PBE-GGA.

Lattice parameters (Å, degrees): 6.840 6.636 2.572 83.49 74.57 21.94
Fractional coordinates of all 3 atoms:
Cr1 0.001 0.001 0.999
Cu1 0.337 0.337 0.663
Rh1 0.661 0.661 0.339

## Properties
* energy of formation: 0.2276 eV per atom
* relative energy among the computed polymorphs: 179.5 meV per atom
* crystal system: orthorhombic
* SG: No. 42

---

7.
Here is a geometry-optimized CuReNi2 structure from the Alexandria database. Energies are from PBE-GGA.

Lattice parameters (Å, degrees): 3.482 3.769 3.769 90.00 90.00 90.00
Fractional coordinates of all 4 atoms:
Cu1 0.500 0.000 0.500
Ni1 0.000 0.000 0.000
Ni2 0.000 0.500 0.500
Re1 0.500 0.500 0.000

## Properties
* energy of formation: 0.3306 eV per atom
* relative energy among the computed polymorphs: 342.2 meV per atom
* crystal system: tetragonal
* SG: No. 123

---

8.
Here is a geometry-optimized BaCaSiAu2 structure from the Alexandria database. Energies are from PBE-GGA.

Lattice parameters (Å, degrees): 4.973 5.810 4.973 90.00 90.00 90.00
Fractional coordinates of all 5 atoms:
Si1 0.000 0.000 0.000
Ca1 0.500 0.500 0.500
Au1 0.000 0.000 0.500
Au2 0.500 0.000 0.000
Ba1 0.000 0.500 0.000

## Properties
* crystal system: tetragonal
* SG: No. 123
* ΔE_f (raw): -0.02 eV/atom